Entry 1:
Compound: Ni2BPb
Source: Alexandria
Functional: PBE-GGA
Structure: optimized geometry

Computed properties:
The spin magnetization comes out at 0.00 μB/f.u. The value obtained for the formation energy is 3.3 eV/f.u. Its space group is Fm-3m (225). The calculation puts the relative energy among the computed polymorphs at 0.488 eV per atom. For the volume, the calculation gives 212.9 Å³ per cell.

Lattice parameters (Å, degrees): 5.9710 5.9710 5.9710 90.00 90.00 90.00
With the nearest neighbours (Å) after each atom.
Atoms (fractional coordinates):
Ni (0.2500, 0.2500, 0.2500)  4 Pb 2.59, 4 B 2.59
Ni (0.2500, 0.2500, 0.7500)  4 Pb 2.59, 4 B 2.59
Ni (0.2500, 0.7500, 0.2500)  4 Pb 2.59, 4 B 2.59
Ni (0.2500, 0.7500, 0.7500)  4 Pb 2.59, 4 B 2.59
Ni (0.7500, 0.2500, 0.2500)  4 Pb 2.59, 4 B 2.59
Ni (0.7500, 0.2500, 0.7500)  4 Pb 2.59, 4 B 2.59
Ni (0.7500, 0.7500, 0.2500)  4 Pb 2.59, 4 B 2.59
Ni (0.7500, 0.7500, 0.7500)  4 B 2.59, 4 Pb 2.59
B (0.0000, 0.0000, 0.0000)  8 Ni 2.59
B (0.0000, 0.5000, 0.5000)  8 Ni 2.59
B (0.5000, 0.0000, 0.5000)  8 Ni 2.59
B (0.5000, 0.5000, 0.0000)  8 Ni 2.59
Pb (0.0000, 0.0000, 0.5000)  8 Ni 2.59
Pb (0.0000, 0.5000, 0.0000)  8 Ni 2.59
Pb (0.5000, 0.0000, 0.0000)  8 Ni 2.59
Pb (0.5000, 0.5000, 0.5000)  8 Ni 2.59

Entry 2:
Compound: Ni2BPb
Source: Alexandria
Functional: PBE-GGA
Structure: optimized geometry

Computed properties:
The spin magnetization comes out at 0.00 μB/f.u. The value obtained for the formation energy is 1.3 eV/f.u. Its space group is I-42d (122). The calculation puts the relative energy among the computed polymorphs at 0.000 eV per atom. For the volume, the calculation gives 260.3 Å³ per cell.

Lattice parameters (Å, degrees): 4.5736 4.5736 12.4454 90.00 90.00 90.00
With the nearest neighbours (Å) after each atom.
Atoms (fractional coordinates):
Ni (0.0449, 0.2500, 0.1250)  2 B 1.94
Ni (0.2500, 0.5449, 0.3750)  2 B 1.94
Ni (0.2500, 0.9551, 0.8750)  2 B 1.94
Ni (0.4551, 0.2500, 0.6250)  2 B 1.94
Ni (0.5449, 0.7500, 0.6250)  2 B 1.94
Ni (0.7500, 0.0449, 0.8750)  2 B 1.94
Ni (0.7500, 0.4551, 0.3750)  2 B 1.94
Ni (0.9551, 0.7500, 0.1250)  2 B 1.94
B (0.0000, 0.0000, 0.0000)  4 Ni 1.94
B (0.0000, 0.5000, 0.2500)  4 Ni 1.94
B (0.5000, 0.0000, 0.7500)  4 Ni 1.94
B (0.5000, 0.5000, 0.5000)  4 Ni 1.94
Pb (0.0000, 0.0000, 0.5000)  8 Ni 2.84-3.15
Pb (0.0000, 0.5000, 0.7500)  8 Ni 2.84-3.15
Pb (0.5000, 0.0000, 0.2500)  8 Ni 2.84-3.15
Pb (0.5000, 0.5000, 0.0000)  8 Ni 2.84-3.15

Entry 3:
Compound: Ni2BPb2
Source: Alexandria
Functional: PBE-GGA
Structure: optimized geometry

Computed properties:
The spin magnetization comes out at 0.25 μB/f.u. The value obtained for the formation energy is 4.3 eV/f.u. Its space group is I4/mmm (139). The calculation puts the relative energy among the computed polymorphs at 0.000 eV per atom. For the volume, the calculation gives 179.1 Å³ per cell.

Lattice parameters (Å, degrees): 3.3962 3.3962 15.5300 90.00 90.00 90.00
With the nearest neighbours (Å) after each atom.
Atoms (fractional coordinates):
Ni (0.0000, 0.5000, 0.2500)  4 Ni 2.40
Ni (0.0000, 0.5000, 0.7500)  4 Ni 2.40
Ni (0.5000, 0.0000, 0.2500)  4 Ni 2.40
Ni (0.5000, 0.0000, 0.7500)  4 Ni 2.40
B (0.0000, 0.0000, 0.0000)  8 Pb 2.91
B (0.5000, 0.5000, 0.5000)  8 Pb 2.91
Pb (0.0000, 0.0000, 0.3938)  4 Ni 2.81, 4 B 2.91
Pb (0.0000, 0.0000, 0.6062)  4 Ni 2.81, 4 B 2.91
Pb (0.5000, 0.5000, 0.1062)  4 Ni 2.81, 4 B 2.91
Pb (0.5000, 0.5000, 0.8938)  4 Ni 2.81, 4 B 2.91

Entry 4:
Compound: Ni2BPb2
Source: Alexandria
Functional: PBE-GGA
Structure: optimized geometry

Computed properties:
The spin magnetization comes out at 0.00 μB/f.u. The value obtained for the formation energy is 4.8 eV/f.u. Its space group is P4/mbm (127). The calculation puts the relative energy among the computed polymorphs at 0.108 eV per atom. For the volume, the calculation gives 182.0 Å³ per cell.

Lattice parameters (Å, degrees): 7.2289 7.2289 3.4833 90.00 90.00 90.00
With the nearest neighbours (Å) after each atom.
Atoms (fractional coordinates):
Ni (0.1197, 0.3803, 0.0000)  1 Ni 2.45, 2 Pb 2.71
Ni (0.3803, 0.8803, 0.0000)  1 Ni 2.45, 2 Pb 2.71
Ni (0.6197, 0.1197, 0.0000)  1 Ni 2.45, 2 Pb 2.71
Ni (0.8803, 0.6197, 0.0000)  1 Ni 2.45, 2 Pb 2.71
B (0.0000, 0.0000, 0.5000)  4 Pb 2.66
B (0.5000, 0.5000, 0.5000)  4 Pb 2.66
Pb (0.1771, 0.6771, 0.5000)  2 B 2.66, 6 Ni 2.71-2.79
Pb (0.3229, 0.1771, 0.5000)  2 B 2.66, 6 Ni 2.71-2.79
Pb (0.6771, 0.8229, 0.5000)  2 B 2.66, 6 Ni 2.71-2.79
Pb (0.8229, 0.3229, 0.5000)  2 B 2.66, 6 Ni 2.71-2.79

Entry 5:
Compound: NiB2Pb
Source: Alexandria
Functional: PBE-GGA
Structure: optimized geometry

Computed properties:
The spin magnetization comes out at 0.00 μB/f.u. The value obtained for the formation energy is 2.1 eV/f.u. Its space group is I4_1/amd (141). For the volume, the calculation gives 212.9 Å³ per cell.

Lattice parameters (Å, degrees): 3.8587 3.8587 14.3001 90.00 90.00 90.00
With the nearest neighbours (Å) after each atom.
Atoms (fractional coordinates):
Ni (0.0000, 0.2500, 0.3750)  4 B 2.03
Ni (0.0000, 0.7500, 0.6250)  4 B 2.03
Ni (0.5000, 0.2500, 0.1250)  4 B 2.03
Ni (0.5000, 0.7500, 0.8750)  4 B 2.03
B (0.0000, 0.0000, 0.5000)  2 B 1.93, 2 Ni 2.03
B (0.0000, 0.5000, 0.5000)  2 B 1.93, 2 Ni 2.03
B (0.2500, 0.2500, 0.2500)  2 B 1.93, 2 Ni 2.03
B (0.2500, 0.7500, 0.7500)  2 B 1.93, 2 Ni 2.03
B (0.5000, 0.0000, 0.0000)  2 B 1.93, 2 Ni 2.03
B (0.5000, 0.5000, 0.0000)  2 B 1.93, 2 Ni 2.03
B (0.7500, 0.2500, 0.2500)  2 B 1.93, 2 Ni 2.03
B (0.7500, 0.7500, 0.7500)  2 B 1.93, 2 Ni 2.03
Pb (0.0000, 0.2500, 0.8750)  4 Ni 2.73, 8 B 2.80
Pb (0.0000, 0.7500, 0.1250)  4 Ni 2.73, 8 B 2.80
Pb (0.5000, 0.2500, 0.6250)  4 Ni 2.73, 8 B 2.80
Pb (0.5000, 0.7500, 0.3750)  4 Ni 2.73, 8 B 2.80

Entry 6:
Compound: NiB3Pb
Source: Alexandria
Functional: PBE-GGA
Structure: optimized geometry

Computed properties:
The spin magnetization comes out at 0.00 μB/f.u. The value obtained for the formation energy is 6.0 eV/f.u. Its space group is Pm-3m (221). The calculation puts the relative energy among the computed polymorphs at 0.000 eV per atom. For the volume, the calculation gives 65.0 Å³ per cell.

Lattice parameters (Å, degrees): 4.0203 4.0203 4.0203 90.00 90.00 90.00
With the nearest neighbours (Å) after each atom.
Atoms (fractional coordinates):
Ni (0.0000, 0.0000, 0.0000)  6 B 2.01
B (0.0000, 0.0000, 0.5000)  2 Ni 2.01
B (0.0000, 0.5000, 0.0000)  2 Ni 2.01
B (0.5000, 0.0000, 0.0000)  2 Ni 2.01
Pb (0.5000, 0.5000, 0.5000)  12 B 2.84

Entry 7:
Compound: NiBPt2Pb
Source: Alexandria
Functional: PBE-GGA
Structure: optimized geometry

Computed properties:
The spin magnetization comes out at 0.00 μB/f.u. The value obtained for the formation energy is 0.0 eV/f.u. Its space group is P4/mmm (123). For the volume, the calculation gives 77.4 Å³ per cell.

Lattice parameters (Å, degrees): 4.3408 4.3408 4.1090 90.00 90.00 90.00
With the nearest neighbours (Å) after each atom.
Atoms (fractional coordinates):
Ni (0.0000, 0.0000, 0.0000)  2 B 2.05
B (0.0000, 0.0000, 0.5000)  2 Ni 2.05, 4 Pt 2.17
Pt (0.0000, 0.5000, 0.5000)  2 B 2.17
Pt (0.5000, 0.0000, 0.5000)  2 B 2.17
Pb (0.5000, 0.5000, 0.0000)  8 Pt 2.99, 4 Ni 3.07

Entry 8:
Compound: NiBRh2Pb
Source: Alexandria
Functional: PBE-GGA
Structure: optimized geometry

Computed properties:
The spin magnetization comes out at 0.00 μB/f.u. The value obtained for the formation energy is -0.6 eV/f.u. Its space group is P4/mmm (123). For the volume, the calculation gives 70.9 Å³ per cell.

Lattice parameters (Å, degrees): 4.1886 4.1886 4.0401 90.00 90.00 90.00
With the nearest neighbours (Å) after each atom.
Atoms (fractional coordinates):
Ni (0.0000, 0.0000, 0.0000)  2 B 2.02
B (0.0000, 0.0000, 0.5000)  2 Ni 2.02, 4 Rh 2.09
Rh (0.0000, 0.5000, 0.5000)  2 B 2.09
Rh (0.5000, 0.0000, 0.5000)  2 B 2.09
Pb (0.5000, 0.5000, 0.0000)  8 Rh 2.91, 4 Ni 2.96

Entry 9:
Compound: Ni2BRhPb
Source: Alexandria
Functional: PBE-GGA
Structure: optimized geometry

Computed properties:
The spin magnetization comes out at 0.00 μB/f.u. The value obtained for the formation energy is -0.1 eV/f.u. Its space group is P4/mmm (123). For the volume, the calculation gives 67.3 Å³ per cell.

Lattice parameters (Å, degrees): 4.0278 4.0278 4.1490 90.00 90.00 90.00
With the nearest neighbours (Å) after each atom.
Atoms (fractional coordinates):
Ni (0.0000, 0.5000, 0.0000)  2 B 2.01
Ni (0.5000, 0.0000, 0.0000)  2 B 2.01
B (0.0000, 0.0000, 0.0000)  4 Ni 2.01, 2 Rh 2.07
Rh (0.0000, 0.0000, 0.5000)  2 B 2.07
Pb (0.5000, 0.5000, 0.5000)  4 Rh 2.85, 8 Ni 2.89

Entry 10:
Compound: SiNiBPb2
Source: Alexandria
Functional: PBE-GGA
Structure: optimized geometry

Computed properties:
The value obtained for the uncorrected formation energy is 0.646 eV per atom. The spin magnetization comes out at 0.00 μB/f.u. Its space group is P4/mmm (123). For the volume, the calculation gives 103.1 Å³ per cell.

Lattice parameters (Å, degrees): 5.2426 5.2426 3.7504 90.00 90.00 90.00
With the nearest neighbours (Å) after each atom.
Atoms (fractional coordinates):
Si (0.0000, 0.0000, 0.0000)  8 Pb 3.22
Ni (0.5000, 0.5000, 0.5000)  2 B 1.88
B (0.5000, 0.5000, 0.0000)  2 Ni 1.88
Pb (0.0000, 0.5000, 0.5000)  2 Ni 2.62
Pb (0.5000, 0.0000, 0.5000)  2 Ni 2.62

Entry 11:
Compound: SiNiB2Pb
Source: Alexandria
Functional: PBE-GGA
Structure: optimized geometry

Computed properties:
The value obtained for the uncorrected formation energy is 0.906 eV per atom. The spin magnetization comes out at 0.00 μB/f.u. Its space group is P4/mmm (123). For the volume, the calculation gives 77.5 Å³ per cell.

Lattice parameters (Å, degrees): 3.9110 3.9110 5.0643 90.00 90.00 90.00
With the nearest neighbours (Å) after each atom.
Atoms (fractional coordinates):
Si (0.0000, 0.0000, 0.0000)  2 Ni 2.53, 4 Pb 2.77
Ni (0.0000, 0.0000, 0.5000)  4 B 1.96
B (0.0000, 0.5000, 0.5000)  2 Ni 1.96
B (0.5000, 0.0000, 0.5000)  2 Ni 1.96
Pb (0.5000, 0.5000, 0.0000)  4 Si 2.77

Entry 12:
Compound: NiB2TePb
Source: Alexandria
Functional: PBE-GGA
Structure: optimized geometry

Computed properties:
The value obtained for the uncorrected formation energy is 2.150 eV per atom. The spin magnetization comes out at 0.54 μB/f.u. Its space group is P4/mmm (123). For the volume, the calculation gives 125.6 Å³ per cell.

Lattice parameters (Å, degrees): 4.5043 4.5043 6.1904 90.00 90.00 90.00
With the nearest neighbours (Å) after each atom.
Atoms (fractional coordinates):
Ni (0.0000, 0.0000, 0.0000)  4 Te 3.19
B (0.0000, 0.5000, 0.5000)  2 Pb 2.25
B (0.5000, 0.0000, 0.5000)  2 Pb 2.25
Te (0.5000, 0.5000, 0.0000)  2 Pb 3.10, 4 Ni 3.19
Pb (0.5000, 0.5000, 0.5000)  4 B 2.25